A plane-wave DFT calculation with PBE was carried out for a relaxed structure of Li2ThCl6.

```
data_Li2ThCl6
_cell_length_a 6.807
_cell_length_b 6.222
_cell_length_c 13.131
_cell_angle_alpha 90.00
_cell_angle_beta 121.20
_cell_angle_gamma 90.00
_space_group_name_H-M_alt 'P 1 21/c 1'
_space_group_IT_number 14
loop_
_space_group_symop_operation_xyz
'x,y,z'
'-x,-y,-z'
'-x,y+1/2,-z+1/2'
'x,-y+1/2,z+1/2'
loop_
_atom_site_label
_atom_site_fract_x
_atom_site_fract_y
_atom_site_fract_z
Li1 0.176 0.001 0.176
Th1 0.500 0.000 0.000
Cl1 0.159 0.243 0.829
Cl2 0.161 0.720 0.500
Cl3 0.499 0.244 0.170
```

Calculated values
As for the formation energy without anion corrections: -1727 kJ/mol of formula units. The energy relative to the lowest polymorph listed for this composition comes out at 0.003 eV/atom. The uncorrected energy comes out at -80.46 eV for the cell shown. As for the volume: 26.43 Å³ per atom. For the density of states at the Fermi level, the calculation gives 0.00 states/eV/f.u.

---

A plane-wave DFT calculation with PBE was carried out for a relaxed structure of Li2ThCl6.

```
data_Li2ThCl6
_cell_length_a 6.307
_cell_length_b 6.307
_cell_length_c 11.766
_cell_angle_alpha 90.00
_cell_angle_beta 90.00
_cell_angle_gamma 90.00
_space_group_name_H-M_alt 'P 42/m n m'
_space_group_IT_number 136
_space_group_name_Hall '-P 4n 2n'
loop_
_atom_site_label
_atom_site_fract_x
_atom_site_fract_y
_atom_site_fract_z
Li1 0.000 0.000 0.166
Th1 0.000 0.000 0.500
Cl1 0.195 0.195 0.000
Cl2 0.200 0.200 0.329
```

Calculated values
As for the formation energy without anion corrections: -1730 kJ/mol of formula units. The energy relative to the lowest polymorph listed for this composition comes out at 0.000 eV/atom. The uncorrected energy comes out at -80.52 eV for the cell shown. As for the volume: 26.00 Å³ per atom. For the density of states at the Fermi level, the calculation gives 0.00 states/eV/f.u.

---

Question: Which formula does entry 2 have?
Answer: Li2ThCl6

---

Copy entry 2 word for word.
A plane-wave DFT calculation with PBE was carried out for a relaxed structure of Li2ThCl6.

```
data_Li2ThCl6
_cell_length_a 6.307
_cell_length_b 6.307
_cell_length_c 11.766
_cell_angle_alpha 90.00
_cell_angle_beta 90.00
_cell_angle_gamma 90.00
_space_group_name_H-M_alt 'P 42/m n m'
_space_group_IT_number 136
_space_group_name_Hall '-P 4n 2n'
loop_
_atom_site_label
_atom_site_fract_x
_atom_site_fract_y
_atom_site_fract_z
Li1 0.000 0.000 0.166
Th1 0.000 0.000 0.500
Cl1 0.195 0.195 0.000
Cl2 0.200 0.200 0.329
```

Calculated values
As for the formation energy without anion corrections: -1730 kJ/mol of formula units. The energy relative to the lowest polymorph listed for this composition comes out at 0.000 eV/atom. The uncorrected energy comes out at -80.52 eV for the cell shown. As for the volume: 26.00 Å³ per atom. For the density of states at the Fermi level, the calculation gives 0.00 states/eV/f.u.